[1]
PmPrTePb | PBE | relaxed

Crystal system: tetragonal
Offset from the most stable computed form: 0.00 eV/f.u.

Cell: 4.546 4.546 6.417 Å, 90.00 90.00 90.00°
Fractional coordinates of all 4 atoms:
Pm 0.000 0.000 0.000
Pr 0.500 0.500 0.500
Te 0.000 0.000 0.500
Pb 0.500 0.500 0.000

[2]
Pm2Pr3Y6Pb | PBE | relaxed

Crystal system: monoclinic
Formation energy: -7 kJ/mol of atoms

Cell: 6.217 6.217 11.840 Å, 95.05 95.05 120.00°
Fractional coordinates of all 12 atoms:
Pm 0.166 0.834 0.000
Pm 0.834 0.166 0.000
Pr 0.000 0.000 0.500
Pr 0.332 0.668 0.500
Pr 0.668 0.332 0.500
Y 0.093 0.419 0.755
Y 0.256 0.256 0.246
Y 0.419 0.093 0.755
Y 0.581 0.907 0.245
Y 0.744 0.744 0.754
Y 0.907 0.581 0.245
Pb 0.500 0.500 0.000

[3]
PmPrZnPb | PBE | relaxed

Crystal system: cubic
Formation energy: -39 kJ/mol of atoms

Cell: 5.408 5.408 5.408 Å, 60.00 60.00 60.00°
Fractional coordinates of all 4 atoms:
Pm 0.000 0.000 0.000
Pr 0.500 0.500 0.500
Zn 0.750 0.750 0.750
Pb 0.250 0.250 0.250

[4]
PmPr2Zn2Pb2 | PBE | relaxed

Crystal system: trigonal
Formation energy: -23 kJ/mol of atoms

Cell: 10.130 10.130 10.130 Å, 27.41 27.41 27.41°
Fractional coordinates of all 7 atoms:
Pm 0.000 0.000 0.000
Pr 0.132 0.132 0.132
Pr 0.868 0.868 0.868
Zn 0.423 0.423 0.423
Zn 0.577 0.577 0.577
Pb 0.271 0.271 0.271
Pb 0.729 0.729 0.729

[5]
PmPt9Pb2 | PBE | relaxed

Crystal system: trigonal
Formation energy: -42 kJ/mol of atoms

Cell: 9.439 9.439 9.439 Å, 33.59 33.59 33.59°
Fractional coordinates of all 12 atoms:
Pm 0.000 0.000 0.000
Pt 0.081 0.585 0.585
Pt 0.333 0.333 0.333
Pt 0.415 0.415 0.919
Pt 0.415 0.919 0.415
Pt 0.500 0.500 0.500
Pt 0.585 0.081 0.585
Pt 0.585 0.585 0.081
Pt 0.667 0.667 0.667
Pt 0.919 0.415 0.415
Pb 0.138 0.138 0.138
Pb 0.862 0.862 0.862

[6]
Pm12PtPb6 | PBE | relaxed

Crystal system: trigonal
Formation energy: -33 kJ/mol of atoms

Cell: 8.909 8.909 8.909 Å, 99.29 99.29 99.29°
Fractional coordinates of all 19 atoms:
Pm 0.011 0.681 0.944
Pm 0.056 0.989 0.319
Pm 0.198 0.423 0.558
Pm 0.319 0.056 0.989
Pm 0.423 0.558 0.198
Pm 0.442 0.802 0.577
Pm 0.558 0.198 0.423
Pm 0.577 0.442 0.802
Pm 0.681 0.944 0.011
Pm 0.802 0.577 0.442
Pm 0.944 0.011 0.681
Pm 0.989 0.319 0.056
Pt 0.000 0.000 0.000
Pb 0.121 0.645 0.315
Pb 0.315 0.121 0.645
Pb 0.355 0.685 0.879
Pb 0.645 0.315 0.121
Pb 0.685 0.879 0.355
Pb 0.879 0.355 0.685

[7]
Pm4PtPb3 | PBE | relaxed

Crystal system: orthorhombic
Formation energy: -63 kJ/mol of atoms

Cell: 4.408 4.584 11.667 Å, 90.00 90.00 90.00°
Fractional coordinates of all 8 atoms:
Pm 0.000 0.000 0.000
Pm 0.000 0.500 0.248
Pm 0.500 0.000 0.457
Pm 0.500 0.500 0.752
Pt 0.500 0.000 0.205
Pb 0.000 0.000 0.716
Pb 0.000 0.500 0.523
Pb 0.500 0.500 0.028

[8]
Pm2PtPb | PBE | relaxed

Crystal system: tetragonal
Formation energy: -77 kJ/mol of atoms

Cell: 3.614 3.614 8.153 Å, 90.00 90.00 90.00°
Fractional coordinates of all 4 atoms:
Pm 0.000 0.000 0.212
Pm 0.000 0.000 0.788
Pt 0.500 0.500 0.000
Pb 0.500 0.500 0.500

no.,VASP energy (eV for the cell shown)
1,-20.557
2,-67.175
3,-16.133
4,-25.929
5,-71.735
6,-91.832
7,-41.389
8,-22.449